This record from the Alexandria database describes a relaxed structure of BaSrCo2. The functional is PBE-GGA.

Lattice parameters (Å, degrees): 4.016 4.043 7.102 90.00 90.00 90.00
Space group Pmmm (No. 47)
Inequivalent atoms, fractional coordinates:
Ba (0.000, 0.000, 0.000)
Sr (0.000, 0.000, 0.500)
Co (0.500, 0.500, 0.342)

## Properties
M_tot (μB/atom): 0.671
Energy of formation from the pure elements (eV per atom): 0.5810
Energy (Ry/atom): -0.2847

This record from the Alexandria database describes a relaxed structure of RbNa2ReAs. The functional is PBE-GGA.

Lattice parameters (Å, degrees): 5.757 5.757 4.760 90.00 90.00 90.00
Space group P4/mmm (No. 123)
Inequivalent atoms, fractional coordinates:
Rb (0.000, 0.000, 0.000)
Na (0.000, 0.500, 0.500)
Re (0.500, 0.500, 0.500)
As (0.500, 0.500, 0.000)

## Properties
M_tot (μB/atom): 0.219
Energy of formation from the pure elements (eV per atom): 0.4764
Energy (Ry/atom): -0.2693

This record from the Alexandria database describes a relaxed structure of Co2PtBr. The functional is PBE-GGA.

Lattice parameters (Å, degrees): 5.701 5.701 10.612 90.00 90.00 90.00
Space group I-42d (No. 122)
Inequivalent atoms, fractional coordinates:
Co (0.240, 0.250, 0.125)
Pt (0.000, 0.000, 0.000)
Br (0.000, 0.000, 0.500)

## Properties
M_tot (μB/atom): 1.250
Formation energy from raw total energies (eV per atom): 0.64
Energy (Ry/atom): -0.3558

This record from the Alexandria database describes a relaxed structure of Pa2InAu4. The functional is PBE-GGA.

Lattice parameters (Å, degrees): 4.9278 4.9278 23.8532 90.00 90.00 120.00
Space group R-3m (No. 166, hexagonal axes)
Inequivalent atoms, fractional coordinates:
Pa (0.0000, 0.0000, 0.2486)
In (0.0000, 0.0000, 0.5000)
Au (0.0000, 0.0000, 0.1176)
Au (0.0000, 0.0000, 0.3722)

## Properties
M_tot (μB/atom): 0.000
Energy of formation from the pure elements (eV per atom): -0.2440
Energy (Ry/atom): -0.3837

This record from the Alexandria database describes a relaxed structure of NdDy4Tm. The functional is PBE-GGA.

Lattice parameters (Å, degrees): 10.579 13.103 6.569 90.00 122.50 90.00
Space group C2/c (No. 15)
Inequivalent atoms, fractional coordinates:
Nd (0.000, 0.185, 0.250)
Dy (0.166, 0.314, 0.750)
Dy (0.166, 0.426, 0.248)
Tm (0.000, 0.076, 0.750)

## Properties
M_tot (μB/atom): 0.000
Energy of formation from the pure elements (eV per atom): 0.0493
Energy (Ry/atom): -0.3351

This record from the Alexandria database describes a relaxed structure of PmGaCuPd. The functional is PBE-GGA.

Lattice parameters (Å, degrees): 4.3817 4.3817 14.0621 90.00 90.00 120.00
Space group R3m (No. 160, hexagonal axes)
Inequivalent atoms, fractional coordinates:
Pm (0.0000, 0.0000, 0.0000)
Ga (0.0000, 0.0000, 0.4927)
Cu (0.0000, 0.0000, 0.7933)
Pd (0.0000, 0.0000, 0.2099)

## Properties
M_tot (μB/atom): 0.000
Energy of formation from the pure elements (eV per atom): -0.5581
Energy (Ry/atom): -0.3546

This record from the Alexandria database describes a relaxed structure of DyAlGaCu6. The functional is PBE-GGA.

Lattice parameters (Å, degrees): 6.796 8.750 9.717 90.00 90.00 90.00
Space group Imma (No. 74)
Inequivalent atoms, fractional coordinates:
Dy (0.000, 0.250, 0.215)
Al (0.250, 0.250, 0.750)
Ga (0.000, 0.000, 0.000)
Cu (0.000, 0.250, 0.521)
Cu (0.000, 0.250, 0.922)
Cu (0.182, 0.002, 0.373)

## Properties
M_tot (μB/atom): 0.000
Energy of formation from the pure elements (eV per atom): 0.0713
Energy (Ry/atom): -0.2883

This record from the Alexandria database describes a relaxed structure of Pr4Sn2Hg. The functional is PBE-GGA.

Lattice parameters (Å, degrees): 4.8586 4.8586 35.8868 90.00 90.00 120.00
Space group R-3m (No. 166, hexagonal axes)
Inequivalent atoms, fractional coordinates:
Pr (0.0000, 0.0000, 0.1176)
Pr (0.0000, 0.0000, 0.3014)
Sn (0.0000, 0.0000, 0.4036)
Hg (0.0000, 0.0000, 0.5000)

## Properties
M_tot (μB/atom): 0.000
Energy of formation from the pure elements (eV per atom): -0.4110
Energy (Ry/atom): -0.3182

This record from the Alexandria database describes a relaxed structure of Tb2Sm3Ho3. The functional is PBE-GGA.

Lattice parameters (Å, degrees): 5.045 5.050 20.219 90.00 90.00 90.00
Space group Immm (No. 71)
Inequivalent atoms, fractional coordinates:
Tb (0.000, 0.000, 0.250)
Sm (0.000, 0.000, 0.000)
Sm (0.000, 0.500, 0.125)
Ho (0.000, 0.000, 0.500)
Ho (0.000, 0.500, 0.374)

## Properties
M_tot (μB/atom): 0.000
Energy of formation from the pure elements (eV per atom): 0.0187
Energy (Ry/atom): -0.3399

This record from the Alexandria database describes a relaxed structure of La2AlSnN. The functional is PBE-GGA.

Lattice parameters (Å, degrees): 5.316 5.316 4.045 90.00 90.00 90.00
Space group P4/mmm (No. 123)
Inequivalent atoms, fractional coordinates:
La (0.000, 0.500, 0.000)
Al (0.000, 0.000, 0.500)
Sn (0.500, 0.500, 0.500)
N (0.000, 0.000, 0.000)

## Properties
M_tot (μB/atom): 0.000
Formation energy from raw total energies (eV per atom): -0.81
Energy (Ry/atom): -0.4406

This record from the Alexandria database describes a relaxed structure of Pm6Y4Er. The functional is PBE-GGA.

Lattice parameters (Å, degrees): 6.740 6.740 16.822 90.00 90.00 90.00
Space group I-42m (No. 121)
Inequivalent atoms, fractional coordinates:
Pm (0.000, 0.500, 0.000)
Pm (0.189, 0.189, 0.175)
Y (0.177, 0.177, 0.378)
Er (0.000, 0.000, 0.000)

## Properties
M_tot (μB/atom): 0.000
Energy of formation from the pure elements (eV per atom): 0.3099
Energy (Ry/atom): -0.3709

This record from the Alexandria database describes a relaxed structure of LiDy2NpO6. The functional is PBE-GGA.

Lattice parameters (Å, degrees): 5.7462 5.7462 15.0691 90.00 90.00 120.00
Space group R3 (No. 146, hexagonal axes)
Inequivalent atoms, fractional coordinates:
Li (0.0000, 0.0000, 0.0000)
Dy (0.0000, 0.0000, 0.2687)
Dy (0.0000, 0.0000, 0.7758)
Np (0.0000, 0.0000, 0.4794)
O (0.0332, 0.3486, 0.5439)
O (0.0512, 0.6687, 0.0521)

## Properties
M_tot (μB/atom): 0.200
Formation energy from raw total energies (eV per atom): -3.05
Energy (Ry/atom): -0.6200